No. 1
VASP calculation (PBE-GGA) on a relaxed structure of Hf2PaTc.

POSCAR file:
```
Hf2PaTc
1.0
-3.0226 -0.4214 -3.7391
-4.6681 -0.9574 0.7664
-3.3261 3.4035 -0.8098
Hf Pa Tc
2 1 1
direct
0.2501 0.2501 0.2498
0.7499 0.7499 0.7502
0.5000 0.5000 0.5000
0.0000 0.0000 0.0000
```

Results
Energy above the lowest structure with this stoichiometry   223 meV per atom
Total moment   0.000 μB per atom
ΔE_f   0.031 eV per atom
Theoretical density   14.3 Mg/m³
SG   Fm-3m
DOS(E_F)   6.4 states/eV per cell

---

No. 2
VASP calculation (PBE-GGA) on a relaxed structure of HfPaTiTc.

POSCAR file:
```
HfPaTiTc
1.0
-2.2302 3.5586 -2.2819
-3.5699 -0.9684 -3.0269
-4.4940 1.1387 1.1624
Tc Pa Hf Ti
1 1 1 1
direct
0.2500 0.2500 0.2500
0.0000 0.0000 0.0000
0.5000 0.5000 0.5000
0.7500 0.7500 0.7500
```

Results
Total moment   0.000 μB per atom
ΔE_f   -0.145 eV per atom
Theoretical density   11.9 Mg/m³
SG   F-43m
DOS(E_F)   5.0 states/eV per cell

---

No. 3
VASP calculation (PBE-GGA) on a relaxed structure of HfPaVTc.

POSCAR file:
```
HfPaVTc
1.0
4.7224 0.0000 0.0000
2.3612 4.0897 0.0000
2.3612 1.3632 3.8558
V Pa Tc Hf
1 1 1 1
direct
0.2500 0.2500 0.2500
0.5000 0.5000 0.5000
0.7500 0.7500 0.7500
0.0000 0.0000 0.0000
```

Results
Total moment   0.000 μB per atom
ΔE_f   -0.115 eV per atom
Theoretical density   12.5 Mg/m³
SG   F-43m
DOS(E_F)   5.2 states/eV per cell

---

No. 4
VASP calculation (PBE-GGA) on a relaxed structure of HfPaZnTc.

POSCAR file:
```
HfPaZnTc
1.0
-2.7502 -1.2005 3.7483
0.8362 -4.0852 2.3806
1.8075 0.1391 4.4462
Tc Hf Zn Pa
1 1 1 1
direct
0.5000 0.5000 0.5000
0.2500 0.2500 0.2500
0.0000 0.0000 0.0000
0.7500 0.7500 0.7500
```

Results
Total moment   0.000 μB per atom
ΔE_f   -0.098 eV per atom
Theoretical density   12.2 Mg/m³
SG   F-43m
DOS(E_F)   4.0 states/eV per cell

---

No. 5
VASP calculation (PBE-GGA) on a relaxed structure of HfZrPaTc.

POSCAR file:
```
HfZrPaTc
1.0
4.8814 0.0000 0.0000
2.4407 4.2274 0.0000
2.4407 1.4091 3.9856
Zr Hf Tc Pa
1 1 1 1
direct
0.7500 0.7500 0.7500
0.0000 0.0000 0.0000
0.2500 0.2500 0.2500
0.5000 0.5000 0.5000
```

Results
Total moment   0.000 μB per atom
ΔE_f   -0.084 eV per atom
Theoretical density   12.1 Mg/m³
SG   F-43m
DOS(E_F)   5.0 states/eV per cell

---

No. 6
VASP calculation (PBE-GGA) on a relaxed structure of Hf2PaTe3.

POSCAR file:
```
Hf2PaTe3
1.0
-1.9762 2.7592 -1.5118
2.0191 -2.4272 -7.0694
-10.0756 -7.4470 -0.4206
Hf Pa Te
4 2 6
direct
0.7500 0.0170 0.4019
0.2500 0.9830 0.5981
0.7500 0.6217 0.0622
0.2500 0.3783 0.9378
0.7500 0.3212 0.6645
0.2500 0.6788 0.3355
0.7500 0.7068 0.5431
0.2500 0.3894 0.1641
0.7500 0.9125 0.1875
0.2500 0.2932 0.4569
0.2500 0.0875 0.8125
0.7500 0.6106 0.8359
```

Results
Formation energy without anion corrections   -0.40 eV per atom
Total moment   0.110 μB per atom
Theoretical density   8.9 Mg/m³
SG   P2_1/m
DOS(E_F)   12.9 states/eV per cell

---

No. 7
VASP calculation (PBE-GGA) on a relaxed structure of HfPaTe4.

POSCAR file:
```
HfPaTe4
1.0
4.1253 0.0000 0.0000
-2.0627 7.3042 -3.5218
0.0000 -0.2375 7.1868
Te Pa Hf
4 1 1
direct
0.8729 0.7458 0.5510
0.3781 0.7562 0.0275
0.6219 0.2438 0.9725
0.1271 0.2542 0.4490
0.5000 0.0000 0.5000
0.0000 0.0000 0.0000
```

Results
Formation energy without anion corrections   -0.80 eV per atom
Energy above the lowest structure with this stoichiometry   0 meV per atom
Total moment   0.155 μB per atom
Theoretical density   7.2 Mg/m³
SG   C2/m
DOS(E_F)   6.5 states/eV per cell

---

No. 8
VASP calculation (PBE-GGA) on a relaxed structure of HfPa2Te4.

POSCAR file:
```
HfPa2Te4
1.0
7.9617 -0.5461 -2.1481
-4.2417 6.7598 -2.1481
0.0955 0.1595 8.5656
Pa Te Hf
4 8 2
direct
0.9925 0.9985 0.4915
0.5070 0.5010 0.5085
0.2485 0.7425 0.9915
0.7510 0.2570 0.0085
0.0448 0.3190 0.3511
0.0374 0.2772 0.8313
0.5690 0.7948 0.8511
0.9437 0.7179 0.1489
0.5272 0.7874 0.3313
0.9679 0.6937 0.6489
0.4561 0.1959 0.6687
0.4459 0.2061 0.1687
0.4979 0.4979 0.0000
0.7479 0.2479 0.5000
```

Results
Formation energy without anion corrections   -0.60 eV per atom
Energy above the lowest structure with this stoichiometry   105 meV per atom
Total moment   0.377 μB per atom
Theoretical density   8.6 Mg/m³
SG   Fdd2
DOS(E_F)   21.5 states/eV per cell